1.
A plane-wave DFT calculation with PBE was carried out for Sm2DyY6Ho after structural relaxation.

Unit cell a=9.736 b=8.780 c=8.780 alpha=117.76 beta=94.89 gamma=94.89
Sites, in units of the cell vectors:
Y1 0.881 0.293 0.502
Y2 0.443 0.251 0.877
Y3 0.315 0.981 0.425
Y4 0.557 0.749 0.123
Y5 0.185 0.575 0.019
Y6 0.381 0.502 0.293
Y7 0.815 0.425 0.981
Y8 0.943 0.877 0.251
Y9 0.119 0.707 0.498
Y10 0.685 0.019 0.575
Y11 0.619 0.498 0.707
Y12 0.057 0.123 0.749
Sm1 0.044 0.294 0.194
Sm2 0.544 0.194 0.294
Sm3 0.456 0.806 0.706
Sm4 0.956 0.706 0.806
Dy1 0.750 0.593 0.407
Dy2 0.250 0.407 0.593
Ho1 0.750 0.020 0.980
Ho2 0.250 0.980 0.020

## Properties
E: -56.3 eV/f.u.
Volume: 327.54 Å³/f.u.
Formation energy: 11.1 kJ/mol of atoms


2.
A plane-wave DFT calculation with PBE was carried out for Tl2CdBi2 after structural relaxation.

Unit cell a=4.381 b=8.178 c=9.761 alpha=90.00 beta=102.97 gamma=90.00
Sites, in units of the cell vectors:
Tl1 0.809 0.367 0.619
Tl2 0.046 0.258 0.092
Tl3 0.954 0.758 0.908
Tl4 0.191 0.867 0.381
Bi1 0.811 0.972 0.623
Bi2 0.189 0.472 0.377
Bi3 0.563 0.954 0.127
Bi4 0.437 0.454 0.873
Cd1 0.410 0.085 0.820
Cd2 0.590 0.585 0.180

## Properties
E: -13.0 eV/f.u.
Volume: 170.39 Å³/f.u.
Formation energy: 7.9 kJ/mol of atoms


3.
A plane-wave DFT calculation with PBE was carried out for Te4Mo3S2 after structural relaxation.

Unit cell a=3.422 b=3.422 c=27.272 alpha=90.00 beta=90.00 gamma=120.00
Sites, in units of the cell vectors:
Te1 0.333 0.667 0.330
Te2 0.333 0.667 0.194
Te3 0.333 0.667 0.806
Te4 0.333 0.667 0.670
Mo1 0.000 0.000 0.738
Mo2 0.333 0.667 0.000
Mo3 0.000 0.000 0.262
S1 0.000 0.000 0.945
S2 0.000 0.000 0.055

## Properties
E: -57.0 eV/f.u.
ΔE_f (raw): -3.67 eV per formula unit
Volume: 276.54 Å³/f.u.


4.
A plane-wave DFT calculation with PBE was carried out for Tm2BeGe2 after structural relaxation.

Unit cell a=4.057 b=6.784 c=7.805 alpha=90.00 beta=105.06 gamma=90.00
Sites, in units of the cell vectors:
Be1 0.592 0.571 0.185
Be2 0.408 0.071 0.815
Ge1 0.570 0.939 0.139
Ge2 0.836 0.995 0.673
Ge3 0.164 0.495 0.327
Ge4 0.430 0.439 0.861
Tm1 0.211 0.906 0.422
Tm2 0.789 0.406 0.578
Tm3 0.976 0.724 0.952
Tm4 0.024 0.224 0.048

## Properties
E: -25.0 eV/f.u.
Volume: 103.71 Å³/f.u.
Formation energy: -59.0 kJ/mol of atoms


5.
A plane-wave DFT calculation with PBE was carried out for Ce3Tl3InSe8 after structural relaxation.

Unit cell a=8.487 b=8.509 c=7.835 alpha=89.52 beta=90.00 gamma=119.91
Each line ends with the local moment (μB).
Sites, in units of the cell vectors:
Se1 0.675 0.834 0.699  -0.02
Se2 0.159 0.834 0.699  -0.02
Se3 0.334 0.668 0.297  -0.02
Se4 0.841 0.166 0.301  -0.02
Se5 0.835 0.671 0.292  -0.02
Se6 0.325 0.166 0.301  -0.02
Se7 0.666 0.332 0.703  -0.02
Se8 0.165 0.329 0.708  -0.02
Ce1 0.500 0.500 0.500  0.63
Ce2 0.500 0.000 0.500  0.64
Ce3 0.000 0.500 0.500  0.63
Tl1 0.000 0.500 0.000  0.00
Tl2 0.500 0.500 0.000  0.00
Tl3 0.000 0.000 0.000  0.00
In1 0.000 0.000 0.500  0.02

## Properties
E: -72.5 eV/f.u.
ΔE_f (raw): -17.03 eV per formula unit
Volume: 490.42 Å³/f.u.


6.
A plane-wave DFT calculation with PBE was carried out for CeTh2P after structural relaxation.

Unit cell a=3.812 b=3.812 c=9.725 alpha=78.70 beta=78.70 gamma=60.00
Each line ends with the local moment (μB).
Sites, in units of the cell vectors:
Th1 0.269 0.269 0.193  0.03
Th2 0.064 0.064 0.808  0.02
P1 0.667 0.667 0.999  0.00
Ce1 0.500 0.500 0.501  0.83

## Properties
E: -28.2 eV/f.u.
Volume: 119.19 Å³/f.u.
Formation energy: -47.8 kJ/mol of atoms


7.
A plane-wave DFT calculation with PBE was carried out for Ho4GaCu3 after structural relaxation.

Unit cell a=4.918 b=4.918 c=8.538 alpha=73.26 beta=73.26 gamma=60.00
Sites, in units of the cell vectors:
Ho1 0.873 0.873 0.382
Ho2 0.622 0.622 0.134
Ho3 0.127 0.127 0.618
Ho4 0.378 0.378 0.866
Cu1 0.253 0.253 0.242
Cu2 0.500 0.500 0.500
Cu3 0.747 0.747 0.758
Ga1 0.000 0.000 0.000

## Properties
E: -36.4 eV/f.u.
Volume: 168.68 Å³/f.u.
Formation energy: -33.2 kJ/mol of atoms


8.
A plane-wave DFT calculation with PBE was carried out for ZrBeSe2N after structural relaxation.

Unit cell a=5.313 b=5.313 c=4.051 alpha=90.00 beta=90.00 gamma=90.00
Each line ends with the local moment (μB).
Sites, in units of the cell vectors:
Se1 0.500 0.000 0.000  0.13
Se2 0.000 0.500 0.000  0.13
Be1 0.500 0.500 0.500  -0.04
N1 0.000 0.000 0.500  0.44
Zr1 0.000 0.000 0.000  -0.06

## Properties
E: -25.6 eV/f.u.
ΔE_f (raw): 1.93 eV per formula unit
Volume: 114.36 Å³/f.u.


9.
A plane-wave DFT calculation with PBE was carried out for Nb3PdAu after structural relaxation.

Unit cell a=4.929 b=4.929 c=4.929 alpha=90.00 beta=90.00 gamma=90.00
Sites, in units of the cell vectors:
Nb1 0.500 0.000 0.000
Nb2 0.000 0.500 0.000
Nb3 0.000 0.000 0.500
Pd1 0.500 0.500 0.500
Au1 0.000 0.000 0.000

## Properties
E: -30.7 eV/f.u.
Volume: 119.77 Å³/f.u.
Formation energy: 154.5 kJ/mol of atoms